[1]
Below is crystalline ZnSnO3 at its relaxed geometry, with properties calculated at the PBE level.

Summary:
The size of the total moment comes out at 0.0 μB/cell. Its space group is P1, No. 1. The calculation puts the energy relative to the elements, uncorrected at -6.54 eV per formula unit. For the total energy, the calculation gives -26.69 eV/f.u.

Cell: 2.935 5.794 5.759 Å, 69.49 75.76 104.68°
Sites, in units of the cell vectors:
1 Zn 0.222 0.421 0.380
2 Sn 0.221 0.094 0.058
3 O 0.935 0.235 0.764
4 O 0.727 0.278 0.221
5 O 0.496 0.803 0.221

[2]
Below is crystalline TlH2Pd2 at its relaxed geometry, with properties calculated at the PBE level.

Summary:
The size of the total moment comes out at 0.0 μB/cell. Its space group is C2/c, No. 15. For the total energy, the calculation gives -19.98 eV/f.u. For the density of states at the Fermi level, the calculation gives 2.35 states/eV/cell.

Cell: 5.943 5.943 5.220 Å, 100.28 100.28 129.19°
Sites, in units of the cell vectors:
1 Tl 0.094 0.906 0.250
2 Tl 0.906 0.094 0.750
3 H 0.862 0.512 0.627
4 H 0.488 0.138 0.873
5 H 0.512 0.862 0.127
6 H 0.138 0.488 0.373
7 Pd 0.435 0.565 0.250
8 Pd 0.715 0.285 0.250
9 Pd 0.285 0.715 0.750
10 Pd 0.565 0.435 0.750

[3]
Below is crystalline CrSnTe2 at its relaxed geometry, with properties calculated at the PBE level.

Summary:
The size of the total moment comes out at 0.0 μB/cell. Its space group is R-3m, No. 166. The calculation puts the energy relative to the elements, uncorrected at 0.31 eV per formula unit. For the total energy, the calculation gives -19.60 eV/f.u. For the density of states at the Fermi level, the calculation gives 5.47 states/eV/cell.

Cell: 10.000 10.000 10.000 Å, 20.25 20.25 20.25°
Sites, in units of the cell vectors:
1 Cr 0.500 0.500 0.500
2 Te 0.890 0.890 0.890
3 Te 0.110 0.110 0.110
4 Sn 0.000 0.000 0.000